Record 1
# GGA-PBE Ba2CuPdO5, optimized geometry
data_Ba2CuPdO5
_cell_length_a 3.465
_cell_length_b 15.769
_cell_length_c 10.264
_cell_angle_alpha 90.00
_cell_angle_beta 90.00
_cell_angle_gamma 90.00
_symmetry_space_group_name_H-M 'C m c 21'
_symmetry_Int_Tables_number 36
_symmetry_space_group_name_Hall 'C 2c -2'
loop_
_atom_site_label
_atom_site_type_symbol
_atom_site_fract_x
_atom_site_fract_y
_atom_site_fract_z
_atom_site_occupancy
Ba1 Ba 0.000 0.123 0.000 1
Ba2 Ba 0.000 0.124 0.397 1
Cu1 Cu 0.000 0.446 0.164 1
Pd1 Pd 0.000 0.213 0.703 1
O1 O 0.000 0.079 0.717 1
O2 O 0.000 0.290 0.326 1
O3 O 0.000 0.291 0.078 1
O4 O 0.000 0.342 0.700 1
O5 O 0.000 0.492 0.995 1
# total magnetic moment = 0.46 μB/f.u.
# E_tot = -5.6128 eV per atom
# D(E_F) = 4.0 states/eV/f.u.
# formation energy from raw total energies = -1399 meV per atom

***

Record 2
# GGA-PBE Ba3PmCu2O6, optimized geometry
data_Ba3PmCu2O6
_cell_length_a 6.2678
_cell_length_b 6.2678
_cell_length_c 6.9564
_cell_angle_alpha 90.00
_cell_angle_beta 90.00
_cell_angle_gamma 120.00
_symmetry_space_group_name_H-M 'P -3 m 1'
_symmetry_Int_Tables_number 164
_symmetry_space_group_name_Hall '-P 3 2"'
loop_
_atom_site_label
_atom_site_type_symbol
_atom_site_fract_x
_atom_site_fract_y
_atom_site_fract_z
_atom_site_occupancy
Ba1 Ba 0.0000 0.0000 0.0000 1
Ba2 Ba 0.3333 0.6667 0.6555 1
Pm1 Pm 0.0000 0.0000 0.5000 1
Cu1 Cu 0.3333 0.6667 0.2117 1
O1 O 0.1667 0.3335 0.2947 1
# total magnetic moment = 1.08 μB/f.u.
# E_tot = -5.9916 eV per atom
# D(E_F) = 9.0 states/eV/f.u.
# formation energy from raw total energies = -1953 meV per atom

***

Record 3
# GGA-PBE BaPmCu2O5, optimized geometry
data_BaPmCu2O5
_cell_length_a 3.930
_cell_length_b 3.930
_cell_length_c 7.687
_cell_angle_alpha 90.00
_cell_angle_beta 90.00
_cell_angle_gamma 90.00
_symmetry_space_group_name_H-M 'P 4/m m m'
_symmetry_Int_Tables_number 123
_symmetry_space_group_name_Hall '-P 4 2'
loop_
_atom_site_label
_atom_site_type_symbol
_atom_site_fract_x
_atom_site_fract_y
_atom_site_fract_z
_atom_site_occupancy
Ba1 Ba 0.000 0.000 0.000 1
Pm1 Pm 0.000 0.000 0.500 1
Cu1 Cu 0.500 0.500 0.262 1
O1 O 0.000 0.500 0.306 1
O2 O 0.500 0.500 0.000 1
# total magnetic moment = 1.13 μB/f.u.
# E_tot = -6.2345 eV per atom
# D(E_F) = 4.2 states/eV/f.u.
# formation energy from raw total energies = -1828 meV per atom

***

Record 4
# GGA-PBE Ba2PrCu2O6, optimized geometry
data_Ba2PrCu2O6
_cell_length_a 6.1004
_cell_length_b 6.1004
_cell_length_c 18.3608
_cell_angle_alpha 90.00
_cell_angle_beta 90.00
_cell_angle_gamma 120.00
_symmetry_space_group_name_H-M 'R -3 m'
_symmetry_Int_Tables_number 166
_symmetry_space_group_name_Hall '-R 3 2"'
loop_
_atom_site_label
_atom_site_type_symbol
_atom_site_fract_x
_atom_site_fract_y
_atom_site_fract_z
_atom_site_occupancy
Ba1 Ba 0.0000 0.0000 0.2096 1
Pr1 Pr 0.0000 0.0000 0.0000 1
Cu1 Cu 0.0000 0.0000 0.4244 1
O1 O 0.0118 0.5059 0.7570 1
# total magnetic moment = 3.04 μB/f.u.
# E_tot = -6.0667 eV per atom
# D(E_F) = 2.3 states/eV/f.u.
# formation energy from raw total energies = -1833 meV per atom

***

Record 5
# GGA-PBE BaPrCu2O5, optimized geometry
data_BaPrCu2O5
_cell_length_a 3.925
_cell_length_b 7.866
_cell_length_c 11.780
_cell_angle_alpha 90.00
_cell_angle_beta 90.00
_cell_angle_gamma 90.00
_symmetry_space_group_name_H-M 'P m m 2'
_symmetry_Int_Tables_number 25
_symmetry_space_group_name_Hall 'P 2 -2'
loop_
_atom_site_label
_atom_site_type_symbol
_atom_site_fract_x
_atom_site_fract_y
_atom_site_fract_z
_atom_site_occupancy
Ba1 Ba 0.000 0.000 0.000 1
Ba2 Ba 0.000 0.000 0.364 1
Ba3 Ba 0.000 0.500 0.008 1
Pr1 Pr 0.000 0.000 0.679 1
Pr2 Pr 0.000 0.500 0.328 1
Pr3 Pr 0.000 0.500 0.678 1
Cu1 Cu 0.500 0.251 0.835 1
Cu2 Cu 0.500 0.253 0.182 1
Cu3 Cu 0.500 0.253 0.524 1
O1 O 0.000 0.245 0.193 1
O2 O 0.000 0.250 0.809 1
O3 O 0.000 0.251 0.548 1
O4 O 0.500 0.000 0.545 1
O5 O 0.500 0.000 0.808 1
O6 O 0.500 0.237 0.022 1
O7 O 0.500 0.267 0.345 1
O8 O 0.500 0.500 0.190 1
O9 O 0.500 0.500 0.547 1
O10 O 0.500 0.500 0.811 1
# total magnetic moment = 0.00 μB/f.u.
# E_tot = -6.1901 eV per atom
# D(E_F) = 3.2 states/eV/f.u.
# formation energy from raw total energies = -1781 meV per atom

***

Record 6
# GGA-PBE Ba2PrCu3O6, optimized geometry
data_Ba2PrCu3O6
_cell_length_a 3.836
_cell_length_b 3.836
_cell_length_c 13.635
_cell_angle_alpha 90.00
_cell_angle_beta 90.00
_cell_angle_gamma 90.00
_symmetry_space_group_name_H-M 'P -4 m 2'
_symmetry_Int_Tables_number 115
_symmetry_space_group_name_Hall 'P -4 -2'
loop_
_atom_site_label
_atom_site_type_symbol
_atom_site_fract_x
_atom_site_fract_y
_atom_site_fract_z
_atom_site_occupancy
Ba1 Ba 0.000 0.000 0.151 1
Pr1 Pr 0.000 0.000 0.500 1
Cu1 Cu 0.500 0.500 0.000 1
Cu2 Cu 0.500 0.500 0.342 1
O1 O 0.000 0.500 0.001 1
O2 O 0.000 0.500 0.407 1
O3 O 0.500 0.500 0.207 1
# total magnetic moment = 0.00 μB/f.u.
# E_tot = -5.8435 eV per atom
# D(E_F) = 10.3 states/eV/f.u.
# formation energy from raw total energies = -1622 meV per atom